# RbGeO2

A crystal of RbGeO2 relaxed with PBEsol (SCAN, Alexandria).

Cell: 5.921 5.921 5.921 Å, 119.91 119.91 90.16°
Element x y z (fractional)
Rb (0.000, 0.000, 0.000)
Rb (0.750, 0.250, 0.500)
Ge (0.250, 0.750, 0.500)
Ge (0.500, 0.500, 0.000)
O (0.268, 0.125, 0.644)
O (0.375, 0.732, 0.856)
O (0.482, 0.625, 0.356)
O (0.875, 0.518, 0.144)

Values from the calculation:
Symmetry: I-42d
Final energy: -116.42 eV for the cell shown

=====

# ZnCr2Pb

A crystal of ZnCr2Pb relaxed with PBEsol (SCAN, Alexandria).

Cell: 3.038 3.038 7.211 Å, 90.00 90.00 90.00°
Element x y z (fractional)
Zn (0.000, 0.000, 0.000)
Cr (0.000, 0.000, 0.367)
Cr (0.500, 0.500, 0.214)
Pb (0.500, 0.500, 0.661)

Values from the calculation:
Symmetry: P4mm
Final energy: -125.07 eV for the cell shown

=====

# CsNbO3

A crystal of CsNbO3 relaxed with PBEsol (SCAN, Alexandria).

Cell: 5.138 15.880 9.223 Å, 90.00 93.17 90.00°
Element x y z (fractional)
Cs (0.099, 0.243, 0.206)
Cs (0.099, 0.257, 0.706)
Cs (0.383, 0.606, 0.011)
Cs (0.383, 0.894, 0.511)
Cs (0.617, 0.106, 0.489)
Cs (0.617, 0.394, 0.989)
Cs (0.901, 0.743, 0.294)
Cs (0.901, 0.757, 0.794)
Nb (0.027, 0.503, 0.314)
Nb (0.027, 0.997, 0.814)
Nb (0.462, 0.605, 0.553)
Nb (0.462, 0.895, 0.053)
Nb (0.538, 0.105, 0.947)
Nb (0.538, 0.395, 0.447)
Nb (0.973, 0.003, 0.186)
Nb (0.973, 0.497, 0.686)
O (0.112, 0.046, 0.354)
O (0.112, 0.454, 0.854)
O (0.172, 0.610, 0.677)
O (0.172, 0.890, 0.177)
O (0.249, 0.602, 0.368)
O (0.249, 0.898, 0.868)
O (0.250, 0.035, 0.040)
O (0.250, 0.465, 0.540)
O (0.322, 0.066, 0.763)
O (0.322, 0.434, 0.263)
O (0.436, 0.214, 0.956)
O (0.436, 0.286, 0.456)
O (0.564, 0.714, 0.544)
O (0.564, 0.786, 0.044)
O (0.678, 0.566, 0.737)
O (0.678, 0.934, 0.237)
O (0.750, 0.535, 0.460)
O (0.750, 0.965, 0.960)
O (0.751, 0.102, 0.132)
O (0.751, 0.398, 0.632)
O (0.828, 0.110, 0.823)
O (0.828, 0.390, 0.323)
O (0.888, 0.546, 0.146)
O (0.888, 0.954, 0.646)

Values from the calculation:
Symmetry: P2_1/c
Final energy: -822.26 eV for the cell shown

=====

# InAgHgI2

A crystal of InAgHgI2 relaxed with PBEsol (SCAN, Alexandria).

Cell: 5.618 5.618 5.490 Å, 90.00 90.00 90.00°
Element x y z (fractional)
In (0.000, 0.000, 0.000)
Ag (0.000, 0.000, 0.500)
Hg (0.500, 0.500, 0.000)
I (0.000, 0.500, 0.500)
I (0.500, 0.000, 0.500)

Values from the calculation:
Symmetry: P4/mmm
Final energy: -206.68 eV for the cell shown

=====

# CaIn2Sb

A crystal of CaIn2Sb relaxed with PBEsol (SCAN, Alexandria).

Cell: 4.608 4.611 5.833 Å, 113.19 113.16 90.04°
Element x y z (fractional)
Ca (0.000, 0.000, 0.000)
In (0.501, 0.500, 0.001)
In (0.750, 0.251, 0.501)
Sb (0.249, 0.751, 0.500)

Values from the calculation:
Symmetry: P1
Final energy: -115.42 eV for the cell shown

=====

# Zr2FeCo

A crystal of Zr2FeCo relaxed with PBEsol (SCAN, Alexandria).

Cell: 4.397 4.397 4.397 Å, 60.00 60.00 60.00°
Element x y z (fractional)
Zr (0.000, 0.000, 0.000)
Zr (0.250, 0.250, 0.250)
Fe (0.500, 0.500, 0.500)
Co (0.750, 0.750, 0.750)

Values from the calculation:
Symmetry: F-43m
Final energy: -96.56 eV for the cell shown
Relative energy among the computed polymorphs: 360.6 meV per atom

=====

# BaLiAg2

A crystal of BaLiAg2 relaxed with PBEsol (SCAN, Alexandria).

Cell: 6.246 6.246 6.246 Å, 43.63 43.63 43.63°
Element x y z (fractional)
Ba (0.000, 0.000, 0.000)
Li (0.500, 0.500, 0.500)
Ag (0.197, 0.197, 0.197)
Ag (0.803, 0.803, 0.803)

Values from the calculation:
Symmetry: R-3m
Final energy: -105.70 eV for the cell shown
Relative energy among the computed polymorphs: 0.0 meV per atom

=====

# MgTe2PI

A crystal of MgTe2PI relaxed with PBEsol (SCAN, Alexandria).

Cell: 5.194 5.194 5.420 Å, 90.00 90.00 90.00°
Element x y z (fractional)
Mg (0.000, 0.000, 0.000)
Te (0.000, 0.500, 0.500)
Te (0.500, 0.000, 0.500)
P (0.500, 0.500, 0.500)
I (0.500, 0.500, 0.000)

Values from the calculation:
Symmetry: P4/mmm
Final energy: -125.31 eV for the cell shown

=====

Look up the final energy of the sixth one.
-96.56 eV for the cell shown

=====

What is the final energy in the first record?
-116.42 eV for the cell shown

=====

What is the final energy in the first record?
-116.42 eV for the cell shown

=====

What did the first record say?
# RbGeO2

A crystal of RbGeO2 relaxed with PBEsol (SCAN, Alexandria).

Cell: 5.921 5.921 5.921 Å, 119.91 119.91 90.16°
Element x y z (fractional)
Rb (0.000, 0.000, 0.000)
Rb (0.750, 0.250, 0.500)
Ge (0.250, 0.750, 0.500)
Ge (0.500, 0.500, 0.000)
O (0.268, 0.125, 0.644)
O (0.375, 0.732, 0.856)
O (0.482, 0.625, 0.356)
O (0.875, 0.518, 0.144)

Values from the calculation:
Symmetry: I-42d
Final energy: -116.42 eV for the cell shown